The following is a DFT calculation (meta-GGA SCAN) of a PBEsol-optimized structure of TlBMo3.

```
5
Lattice="-2.777 -0.930 3.906 -3.816 -0.868 -2.919 1.251 -4.713 -0.233" Properties=species:S:1:pos:R:3 pbc="T T T"
Mo -1.388 -0.465 1.953
Mo 0.625 -2.357 -0.117
Mo -1.908 -0.434 -1.459
Tl 0.000 0.000 0.000
B -2.671 -3.256 0.377
```

Results
space-group type: Pm-3m, No. 221
ρ: 7.18 g/cm³
ΔH_f (0 K): 1786 kJ/mol of formula units